# 1
Density functional theory data (PBE) for crystalline PuCo2Tc at its relaxed geometry.

The electronic total energy comes out at -0.6994 Ry/atom. For the calculated formation energy, the calculation gives 20 kJ/mol of atoms.

The structure belongs to space group Fm-3m (No. 225); the cell edges are 6.2436, 6.2436 and 6.2436 Å and the angles 90.00°, 90.00° and 90.00°. Symmetry generates all atoms from Pu at (0.0000, 0.0000, 0.0000), Co at (0.2500, 0.2500, 0.2500) and Tc at (0.0000, 0.0000, 0.5000).

***

# 2
Density functional theory data (PBE) for crystalline PuCoTc at its relaxed geometry.

The electronic total energy comes out at -0.7468 Ry/atom. For the calculated formation energy, the calculation gives 43 kJ/mol of atoms.

The structure belongs to space group P-6m2 (No. 187); the cell edges are 4.6740, 4.6740 and 2.4084 Å and the angles 90.00°, 90.00° and 120.00°. Symmetry generates all atoms from Pu at (0.0000, 0.0000, 0.0000), Co at (0.6667, 0.3333, 0.5000) and Tc at (0.3333, 0.6667, 0.5000).

***

# 3
Density functional theory data (PBE) for crystalline PuThCoTc at its relaxed geometry.

The electronic total energy comes out at -0.7191 Ry/atom. For the calculated formation energy, the calculation gives 2 kJ/mol of atoms.

The structure belongs to space group F-43m (No. 216); the cell edges are 6.8840, 6.8840 and 6.8840 Å and the angles 90.00°, 90.00° and 90.00°. Symmetry generates all atoms from Pu at (0.0000, 0.0000, 0.0000), Th at (0.0000, 0.0000, 0.5000), Co at (0.2500, 0.2500, 0.7500) and Tc at (0.2500, 0.2500, 0.2500).

***

# 4
Density functional theory data (PBE) for crystalline PuTiCoTc at its relaxed geometry.

The electronic total energy comes out at -0.7392 Ry/atom. For the calculated formation energy, the calculation gives -13 kJ/mol of atoms.

The structure belongs to space group F-43m (No. 216); the cell edges are 6.3793, 6.3793 and 6.3793 Å and the angles 90.00°, 90.00° and 90.00°. Symmetry generates all atoms from Pu at (0.0000, 0.0000, 0.0000), Ti at (0.0000, 0.0000, 0.5000), Co at (0.2500, 0.2500, 0.2500) and Tc at (0.2500, 0.2500, 0.7500).

***

# 5
Density functional theory data (PBE) for crystalline PuUCoTc at its relaxed geometry.

The electronic total energy comes out at -0.7988 Ry/atom. For the calculated formation energy, the calculation gives -9 kJ/mol of atoms.

The structure belongs to space group F-43m (No. 216); the cell edges are 6.3925, 6.3925 and 6.3925 Å and the angles 90.00°, 90.00° and 90.00°. Symmetry generates all atoms from Pu at (0.0000, 0.0000, 0.0000), U at (0.2500, 0.2500, 0.2500), Co at (0.2500, 0.2500, 0.7500) and Tc at (0.0000, 0.0000, 0.5000).

***

# 6
Density functional theory data (PBE) for crystalline PuUCoTc at its relaxed geometry.

The electronic total energy comes out at -0.7858 Ry/atom. For the calculated formation energy, the calculation gives 8 kJ/mol of atoms.

The structure belongs to space group F-43m (No. 216); the cell edges are 6.6625, 6.6625 and 6.6625 Å and the angles 90.00°, 90.00° and 90.00°. Symmetry generates all atoms from Pu at (0.0000, 0.0000, 0.0000), U at (0.0000, 0.0000, 0.5000), Co at (0.2500, 0.2500, 0.7500) and Tc at (0.2500, 0.2500, 0.2500).

***

# 7
Density functional theory data (PBE) for crystalline PuVCoTc at its relaxed geometry.

The electronic total energy comes out at -0.7460 Ry/atom. For the calculated formation energy, the calculation gives 8 kJ/mol of atoms.

The structure belongs to space group F-43m (No. 216); the cell edges are 6.2798, 6.2798 and 6.2798 Å and the angles 90.00°, 90.00° and 90.00°. Symmetry generates all atoms from Pu at (0.0000, 0.0000, 0.0000), V at (0.0000, 0.0000, 0.5000), Co at (0.2500, 0.2500, 0.7500) and Tc at (0.2500, 0.2500, 0.2500).

***

# 8
Density functional theory data (PBE) for crystalline YPuCoTc at its relaxed geometry.

The electronic total energy comes out at -0.7004 Ry/atom. For the calculated formation energy, the calculation gives 4 kJ/mol of atoms.

The structure belongs to space group F-43m (No. 216); the cell edges are 6.7390, 6.7390 and 6.7390 Å and the angles 90.00°, 90.00° and 90.00°. Symmetry generates all atoms from Y at (0.0000, 0.0000, 0.0000), Pu at (0.0000, 0.0000, 0.5000), Co at (0.2500, 0.2500, 0.7500) and Tc at (0.2500, 0.2500, 0.2500).

***

# 9
Density functional theory data (PBE) for crystalline PuZnCoTc at its relaxed geometry.

The electronic total energy comes out at -0.6073 Ry/atom. For the calculated formation energy, the calculation gives 1 kJ/mol of atoms.

The structure belongs to space group F-43m (No. 216); the cell edges are 6.2967, 6.2967 and 6.2967 Å and the angles 90.00°, 90.00° and 90.00°. Symmetry generates all atoms from Pu at (0.0000, 0.0000, 0.0000), Zn at (0.0000, 0.0000, 0.5000), Co at (0.2500, 0.2500, 0.2500) and Tc at (0.2500, 0.2500, 0.7500).

***

# 10
Density functional theory data (PBE) for crystalline PuZrCoTc at its relaxed geometry.

The electronic total energy comes out at -0.7496 Ry/atom. For the calculated formation energy, the calculation gives -11 kJ/mol of atoms.

The structure belongs to space group F-43m (No. 216); the cell edges are 6.5867, 6.5867 and 6.5867 Å and the angles 90.00°, 90.00° and 90.00°. Symmetry generates all atoms from Pu at (0.0000, 0.0000, 0.0000), Zr at (0.0000, 0.0000, 0.5000), Co at (0.2500, 0.2500, 0.2500) and Tc at (0.2500, 0.2500, 0.7500).

***

# 11
Density functional theory data (PBE) for crystalline PuThCo2 at its relaxed geometry.

The electronic total energy comes out at -0.6611 Ry/atom. For the calculated formation energy, the calculation gives 0 kJ/mol of atoms.

The structure belongs to space group P4/mmm (No. 123); the cell edges are 4.7535, 4.7535 and 3.4174 Å and the angles 90.00°, 90.00° and 90.00°. Symmetry generates all atoms from Pu at (0.0000, 0.0000, 0.0000), Th at (0.5000, 0.5000, 0.0000) and Co at (0.0000, 0.5000, 0.5000).

***

# 12
Density functional theory data (PBE) for crystalline PuTh2Co at its relaxed geometry.

The electronic total energy comes out at -0.6645 Ry/atom. For the calculated formation energy, the calculation gives 3 kJ/mol of atoms.

The structure belongs to space group P4/mmm (No. 123); the cell edges are 3.5163, 3.5163 and 7.9587 Å and the angles 90.00°, 90.00° and 90.00°. Symmetry generates all atoms from Pu at (0.0000, 0.0000, 0.0000), Th at (0.5000, 0.5000, 0.2913) and Co at (0.0000, 0.0000, 0.5000).